First-principles (PBE) data for Pa2TlCu after structural relaxation, as listed in Alexandria via LeMat-Bulk.

CIF file:
```
data_Pa2TlCu
_space_group_name_H-M_alt 'R -3 m'
_space_group_IT_number 166
_space_group_name_Hall '-R 3 2"'
_cell_length_a 3.1815
_cell_length_b 3.1815
_cell_length_c 31.3489
_cell_angle_alpha 90.00
_cell_angle_beta 90.00
_cell_angle_gamma 120.00
loop_
_atom_site_label
_atom_site_type_symbol
_atom_site_fract_x
_atom_site_fract_y
_atom_site_fract_z
Pa1 Pa 0.0000 0.0000 0.2409
Tl1 Tl 0.0000 0.0000 0.0000
Cu1 Cu 0.0000 0.0000 0.5000
```

Summary:
The energy above the most stable polymorph in this dataset comes out at 0.05 eV per formula unit. For the energy relative to the elements, the calculation gives 159 meV/atom. The density of states at the Fermi level is 1.672 states/eV per atom. The value obtained for the total energy is -6.204 eV per atom.